Here is a relaxed CeAl crystal from Alexandria. Energies are from PBE-GGA.

Calculated values
* total energy: -10.2 eV per formula unit
* formation energy from the elements: -0.283 eV/atom
* total moment: 0.9 μB per cell

a b c (Å): 5.6674 5.6674 5.6674
angles (deg): 140.21 126.90 68.36
Sites, in units of the cell vectors:
Ce 0.3861 0.1361 0.2500
Ce 0.6139 0.8639 0.7500
Al 0.1012 0.3512 0.7500
Al 0.8988 0.6488 0.2500


Here is a relaxed NaSi2Hg2 crystal from Alexandria. Energies are from PBE-GGA.

Calculated values
* total energy: -12.1 eV per formula unit
* energy relative to the lowest polymorph listed for this composition: 0.0 meV/atom
* formation energy (no corrections): 143 meV/atom
* total moment: 0.0 μB per cell

a b c (Å): 6.1856 6.1856 6.1856
angles (deg): 136.05 136.05 63.90
Sites, in units of the cell vectors:
Na 0.0000 0.0000 0.0000
Si 0.3903 0.3903 0.0000
Si 0.6097 0.6097 0.0000
Hg 0.2500 0.7500 0.5000
Hg 0.7500 0.2500 0.5000